This record from the Alexandria database describes crystalline BaRhWO6 at its relaxed geometry. The functional is GGA+U.

a = 5.345 Å, b = 5.345 Å, c = 5.783 Å
α = 90.01°, β = 90.01°, γ = 60.00°
Each line ends with the local moment (μB).
Atoms (fractional coordinates):
O 0.380 0.010 0.691  0.06
O 0.010 0.380 0.309  0.06
O 0.610 0.380 0.691  0.06
O 0.380 0.610 0.309  0.06
O 0.610 0.010 0.309  0.06
O 0.010 0.610 0.691  0.06
Rh 0.667 0.667 0.500  0.61
W 0.333 0.333 0.500  -0.03
Ba 0.000 0.000 0.000  0.01

* ρ: 6.04 g cm⁻³
* calculated volume: 143.1 Å³ per cell
* space-group type: P312, No. 149
* total energy: -6.959 eV/atom